[1]
# MnAl2Ag, optimized geometry, DFT PBE
# **Crystal system**: trigonal
# **Total moment**: 0.59 μB/atom
# **Formation enthalpy at 0 K**: -0.0609 eV per atom
# **Calculated density**: 5.927 Mg/m³
data_MnAl2Ag
_chemical_formula_sum 'Mn3 Al6 Ag3'
_space_group_name_H-M_alt 'R -3 m'
_space_group_IT_number 166
_space_group_name_Hall '-R 3 2"'
_cell_length_a 2.8359
_cell_length_b 2.8359
_cell_length_c 26.1571
_cell_angle_alpha 90.00
_cell_angle_beta 90.00
_cell_angle_gamma 120.00
loop_
_atom_site_label
_atom_site_type_symbol
_atom_site_fract_x
_atom_site_fract_y
_atom_site_fract_z
Mn1 Mn 0.0000 0.0000 0.0000
Al1 Al 0.0000 0.0000 0.2564
Ag1 Ag 0.0000 0.0000 0.5000


[2]
# Sr3MnNb, optimized geometry, DFT PBE
# **Crystal system**: cubic
# **Total moment**: 1.08 μB/atom
# **Formation enthalpy at 0 K**: 1.2213 eV per atom
# **Calculated density**: 3.351 Mg/m³
data_Sr3MnNb
_chemical_formula_sum 'Sr3 Mn1 Nb1'
_space_group_name_H-M_alt 'P m -3 m'
_space_group_IT_number 221
_space_group_name_Hall '-P 4 2 3'
_cell_length_a 5.882
_cell_length_b 5.882
_cell_length_c 5.882
_cell_angle_alpha 90.00
_cell_angle_beta 90.00
_cell_angle_gamma 90.00
loop_
_atom_site_label
_atom_site_type_symbol
_atom_site_fract_x
_atom_site_fract_y
_atom_site_fract_z
Sr1 Sr 0.000 0.000 0.500
Mn1 Mn 0.500 0.500 0.500
Nb1 Nb 0.000 0.000 0.000


[3]
# KRb3Na3, optimized geometry, DFT PBE
# **Crystal system**: trigonal
# **Total moment**: 0.00 μB/atom
# **Formation enthalpy at 0 K**: 0.0463 eV per atom
# **Calculated density**: 1.359 Mg/m³
data_KRb3Na3
_chemical_formula_sum 'K6 Rb18 Na18'
_space_group_name_H-M_alt 'R -3'
_space_group_IT_number 148
_space_group_name_Hall '-R 3'
_cell_length_a 11.8679
_cell_length_b 11.8679
_cell_length_c 21.9049
_cell_angle_alpha 90.00
_cell_angle_beta 90.00
_cell_angle_gamma 120.00
loop_
_atom_site_label
_atom_site_type_symbol
_atom_site_fract_x
_atom_site_fract_y
_atom_site_fract_z
K1 K 0.0000 0.0000 0.2292
Rb1 Rb 0.0283 0.7794 0.4152
Na1 Na 0.0459 0.8337 0.9279


[4]
# AsSe2N2, optimized geometry, DFT PBE
# **Crystal system**: tetragonal
# **Total moment**: 0.16 μB/atom
# **Calculated density**: 4.557 Mg/m³
# **Raw formation energy**: 1.232 eV/atom
data_AsSe2N2
_chemical_formula_sum 'As1 Se2 N2'
_space_group_name_H-M_alt 'P 4/m m m'
_space_group_IT_number 123
_space_group_name_Hall '-P 4 2'
_cell_length_a 3.699
_cell_length_b 3.699
_cell_length_c 6.947
_cell_angle_alpha 90.00
_cell_angle_beta 90.00
_cell_angle_gamma 90.00
loop_
_atom_site_label
_atom_site_type_symbol
_atom_site_fract_x
_atom_site_fract_y
_atom_site_fract_z
As1 As 0.000 0.000 0.000
Se1 Se 0.000 0.000 0.500
Se2 Se 0.500 0.500 0.500
N1 N 0.000 0.500 0.000


[5]
# Cd2AgBr, optimized geometry, DFT PBE
# **Crystal system**: tetragonal
# **Total moment**: 0.00 μB/atom
# **Calculated density**: 6.023 Mg/m³
# **Raw formation energy**: -0.067 eV/atom
data_Cd2AgBr
_chemical_formula_sum 'Cd2 Ag1 Br1'
_space_group_name_H-M_alt 'P 4 m m'
_space_group_IT_number 99
_cell_length_a 3.950
_cell_length_b 3.950
_cell_length_c 7.290
_cell_angle_alpha 90.00
_cell_angle_beta 90.00
_cell_angle_gamma 90.00
loop_
_space_group_symop_operation_xyz
'x,y,z'
'-y,x,z'
'-x,-y,z'
'y,-x,z'
'-x,y,z'
'y,x,z'
'x,-y,z'
'-y,-x,z'
loop_
_atom_site_label
_atom_site_type_symbol
_atom_site_fract_x
_atom_site_fract_y
_atom_site_fract_z
Cd1 Cd 0.000 0.000 0.000
Cd2 Cd 0.500 0.500 0.368
Ag1 Ag 0.000 0.000 0.376
Br1 Br 0.500 0.500 0.847


[6]
# Ba3Cr5Te12, optimized geometry, DFT PBE
# **Crystal system**: cubic
# **Total moment**: 0.60 μB/atom
# **Calculated density**: 5.413 Mg/m³
# **Raw formation energy**: -0.479 eV/atom
data_Ba3Cr5Te12
_chemical_formula_sum 'Ba24 Cr40 Te96'
_space_group_name_H-M_alt 'I a -3 d'
_space_group_IT_number 230
_space_group_name_Hall '-I 4bd 2c 3'
_cell_length_a 17.551
_cell_length_b 17.551
_cell_length_c 17.551
_cell_angle_alpha 90.00
_cell_angle_beta 90.00
_cell_angle_gamma 90.00
loop_
_atom_site_label
_atom_site_type_symbol
_atom_site_fract_x
_atom_site_fract_y
_atom_site_fract_z
Ba1 Ba 0.000 0.250 0.125
Cr1 Cr 0.000 0.000 0.000
Cr2 Cr 0.000 0.250 0.375
Te1 Te 0.041 0.053 0.644


[7]
# SiIrS2, optimized geometry, DFT PBE
# **Crystal system**: tetragonal
# **Total moment**: 0.00 μB/atom
# **Calculated density**: 6.332 Mg/m³
# **Raw formation energy**: 0.159 eV/atom
data_SiIrS2
_chemical_formula_sum 'Si4 Ir4 S8'
_space_group_name_H-M_alt 'I -4 2 d'
_space_group_IT_number 122
_space_group_name_Hall 'I -4 2bw'
_cell_length_a 5.292
_cell_length_b 5.292
_cell_length_c 10.655
_cell_angle_alpha 90.00
_cell_angle_beta 90.00
_cell_angle_gamma 90.00
loop_
_atom_site_label
_atom_site_type_symbol
_atom_site_fract_x
_atom_site_fract_y
_atom_site_fract_z
Si1 Si 0.000 0.000 0.000
Ir1 Ir 0.000 0.000 0.500
S1 S 0.250 0.250 0.125


[8]
# NdTmGePt, optimized geometry, DFT PBE
# **Crystal system**: cubic
# **Total moment**: 0.00 μB/atom
# **Formation enthalpy at 0 K**: -0.8794 eV per atom
# **Calculated density**: 10.504 Mg/m³
data_NdTmGePt
_chemical_formula_sum 'Nd4 Tm4 Ge4 Pt4'
_space_group_name_H-M_alt 'F -4 3 m'
_space_group_IT_number 216
_space_group_name_Hall 'F -4 2 3'
_cell_length_a 7.162
_cell_length_b 7.162
_cell_length_c 7.162
_cell_angle_alpha 90.00
_cell_angle_beta 90.00
_cell_angle_gamma 90.00
loop_
_atom_site_label
_atom_site_type_symbol
_atom_site_fract_x
_atom_site_fract_y
_atom_site_fract_z
Nd1 Nd 0.000 0.000 0.000
Tm1 Tm 0.000 0.000 0.500
Ge1 Ge 0.250 0.250 0.750
Pt1 Pt 0.250 0.250 0.250


[9]
# Tl3VS, optimized geometry, DFT PBE
# **Crystal system**: cubic
# **Total moment**: 0.91 μB/atom
# **Calculated density**: 7.357 Mg/m³
# **Raw formation energy**: 0.582 eV/atom
data_Tl3VS
_chemical_formula_sum 'Tl3 V1 S1'
_space_group_name_H-M_alt 'P m -3 m'
_space_group_IT_number 221
_space_group_name_Hall '-P 4 2 3'
_cell_length_a 5.396
_cell_length_b 5.396
_cell_length_c 5.396
_cell_angle_alpha 90.00
_cell_angle_beta 90.00
_cell_angle_gamma 90.00
loop_
_atom_site_label
_atom_site_type_symbol
_atom_site_fract_x
_atom_site_fract_y
_atom_site_fract_z
Tl1 Tl 0.000 0.000 0.500
V1 V 0.000 0.000 0.000
S1 S 0.500 0.500 0.500


[10]
# SrMo2HCl, optimized geometry, DFT PBE
# **Crystal system**: tetragonal
# **Total moment**: 2.09 μB/atom
# **Calculated density**: 3.080 Mg/m³
# **Energy**: -3.713 eV per atom
data_SrMo2HCl
_chemical_formula_sum 'Sr1 Mo2 H1 Cl1'
_space_group_name_H-M_alt 'P 4/m m m'
_space_group_IT_number 123
_space_group_name_Hall '-P 4 2'
_cell_length_a 6.330
_cell_length_b 6.330
_cell_length_c 4.251
_cell_angle_alpha 90.00
_cell_angle_beta 90.00
_cell_angle_gamma 90.00
loop_
_atom_site_label
_atom_site_type_symbol
_atom_site_fract_x
_atom_site_fract_y
_atom_site_fract_z
Sr1 Sr 0.000 0.000 0.000
Mo1 Mo 0.000 0.500 0.000
H1 H 0.000 0.000 0.500
Cl1 Cl 0.500 0.500 0.500


[11]
# BaZrIO6, optimized geometry, DFT PBE
# **Crystal system**: trigonal
# **Total moment**: 0.00 μB/atom
# **Calculated density**: 4.833 Mg/m³
# **Raw formation energy**: -1.901 eV/atom
data_BaZrIO6
_chemical_formula_sum 'Ba1 Zr1 I1 O6'
_space_group_name_H-M_alt 'P 3 1 2'
_space_group_IT_number 149
_cell_length_a 5.5813
_cell_length_b 5.5813
_cell_length_c 5.7496
_cell_angle_alpha 90.00
_cell_angle_beta 90.00
_cell_angle_gamma 120.00
loop_
_space_group_symop_operation_xyz
'x,y,z'
'-y,x-y,z'
'-x+y,-x,z'
'-y,-x,-z'
'-x+y,y,-z'
'x,x-y,-z'
loop_
_atom_site_label
_atom_site_type_symbol
_atom_site_fract_x
_atom_site_fract_y
_atom_site_fract_z
Ba1 Ba 0.0000 0.0000 0.0000
Zr1 Zr 0.6667 0.3333 0.5000
I1 I 0.3333 0.6667 0.5000
O1 O 0.0153 0.3979 0.2995


[12]
# Mn2Nb2Al, optimized geometry, DFT PBE
# **Crystal system**: tetragonal
# **Total moment**: 0.67 μB/atom
# **Formation enthalpy at 0 K**: -0.0268 eV per atom
# **Calculated density**: 6.920 Mg/m³
data_Mn2Nb2Al
_chemical_formula_sum 'Mn4 Nb4 Al2'
_space_group_name_H-M_alt 'P 4/m b m'
_space_group_IT_number 127
_space_group_name_Hall '-P 4 2ab'
_cell_length_a 6.875
_cell_length_b 6.875
_cell_length_c 3.276
_cell_angle_alpha 90.00
_cell_angle_beta 90.00
_cell_angle_gamma 90.00
loop_
_atom_site_label
_atom_site_type_symbol
_atom_site_fract_x
_atom_site_fract_y
_atom_site_fract_z
Mn1 Mn 0.124 0.376 0.000
Nb1 Nb 0.181 0.681 0.500
Al1 Al 0.000 0.000 0.000